No. 1
Entry from Alexandria via LeMat-Bulk: a geometry-optimized Tb7NdDy12 structure (GGA-PBE).

Cell: 12.8282 12.8282 13.6504 Å, 90.00 90.00 120.00°
Space group R-3 (No. 148, hexagonal axes)
One atom of each set of equivalent atoms:
1 Tb 0.0000 0.0000 0.0000 [3 per cell]
2 Tb 0.0682 0.8666 0.3491 [18 per cell]
3 Nd 0.0000 0.0000 0.5000 [3 per cell]
4 Dy 0.0028 0.4362 0.7481 [18 per cell]
5 Dy 0.0682 0.1997 0.8460 [18 per cell]

Values from the calculation:
E above lowest polymorph = 0 meV/atom
DOS(E_F) = 52.34 states/eV per cell


No. 2
Entry from Alexandria via LeMat-Bulk: a geometry-optimized Tb2Nd5Dy2 structure (GGA-PBE).

Cell: 11.481 5.126 10.865 Å, 90.00 108.52 90.00°
Space group C2/m (No. 12)
One atom of each set of equivalent atoms:
1 Tb 0.167 0.000 0.224 [4 per cell]
2 Nd 0.000 0.500 0.000 [2 per cell]
3 Nd 0.165 0.000 0.888 [4 per cell]
4 Nd 0.166 0.000 0.555 [4 per cell]
5 Dy 0.000 0.500 0.334 [4 per cell]

Values from the calculation:
E above lowest polymorph = 0 meV/atom
DOS(E_F) = 25.96 states/eV per cell


No. 3
Entry from Alexandria via LeMat-Bulk: a geometry-optimized TbNd6Dy5 structure (GGA-PBE).

Cell: 5.128 10.156 15.352 Å, 90.00 90.00 90.00°
Space group Immm (No. 71)
One atom of each set of equivalent atoms:
1 Tb 0.000 0.000 0.000 [2 per cell]
2 Nd 0.000 0.250 0.167 [8 per cell]
3 Nd 0.000 0.250 0.500 [4 per cell]
4 Dy 0.000 0.000 0.333 [4 per cell]
5 Dy 0.000 0.500 0.000 [2 per cell]
6 Dy 0.000 0.500 0.333 [4 per cell]

Values from the calculation:
DOS(E_F) = 31.65 states/eV per cell


No. 4
Entry from Alexandria via LeMat-Bulk: a geometry-optimized TbNdDy4 structure (GGA-PBE).

Cell: 9.330 9.330 9.330 Å, 90.00 90.00 90.00°
Space group F-43m (No. 216)
One atom of each set of equivalent atoms:
1 Tb 0.000 0.000 0.000 [4 per cell]
2 Nd 0.250 0.250 0.750 [4 per cell]
3 Dy 0.125 0.125 0.375 [16 per cell]

Values from the calculation:
E above lowest polymorph = 259 meV/atom
DOS(E_F) = 48.84 states/eV per cell


No. 5
Entry from Alexandria via LeMat-Bulk: a geometry-optimized Tb9NdDy2 structure (GGA-PBE).

Cell: 5.044 5.044 15.136 Å, 90.00 90.00 90.00°
Space group P4/mmm (No. 123)
One atom of each set of equivalent atoms:
1 Tb 0.000 0.000 0.000 [1 per cell]
2 Tb 0.000 0.000 0.335 [2 per cell]
3 Tb 0.000 0.500 0.169 [4 per cell]
4 Tb 0.000 0.500 0.500 [2 per cell]
5 Nd 0.500 0.500 0.000 [1 per cell]
6 Dy 0.500 0.500 0.334 [2 per cell]

Values from the calculation:
E above lowest polymorph = 0 meV/atom
DOS(E_F) = 19.06 states/eV per cell


No. 6
Entry from Alexandria via LeMat-Bulk: a geometry-optimized Tb2NdDy structure (GGA-PBE).

Cell: 3.6022 3.6022 34.8943 Å, 90.00 90.00 120.00°
Space group R3m (No. 160, hexagonal axes)
One atom of each set of equivalent atoms:
1 Tb 0.0000 0.0000 0.0000 [3 per cell]
2 Tb 0.0000 0.0000 0.1697 [3 per cell]
3 Nd 0.0000 0.0000 0.4186 [3 per cell]
4 Dy 0.0000 0.0000 0.5848 [3 per cell]

Values from the calculation:
E above lowest polymorph = 0 meV/atom
DOS(E_F) = 17.03 states/eV per cell


Calculated formation energy in eV/atom, matching the order above: 0.29, 0.02, 0.01, 0.28, 0.02, 0.02
Density in g/cm³, matching the order above: 8.21, 7.47, 7.63, 7.79, 8.19, 7.93